Record 1
This record from the Alexandria database describes a relaxed HoBe2SiRh2 crystal. The functional is PBE-GGA.

* calculated total energy: -5.468 eV/atom
* symmetry: P4/mmm, No. 123
* energy relative to the elements, uncorrected: -10.5 kJ per mole of atoms

Cell lengths 4.0474, 4.0474, 5.5476 Å; angles 90.00, 90.00, 90.00 degrees
With the nearest neighbours (Å) after each atom.
Atoms (fractional coordinates):
Rh  0.5000  0.5000  0.2473  4 Be 2.44
Rh  0.5000  0.5000  0.7527  4 Be 2.44
Si  0.0000  0.0000  0.0000  4 Be 2.02
Be  0.0000  0.5000  0.0000  2 Si 2.02
Be  0.5000  0.0000  0.0000  2 Si 2.02
Ho  0.0000  0.0000  0.5000  2 Si 2.77

---

Record 2
This record from the Alexandria database describes a relaxed Cs3PrNp2Te6 crystal. The functional is PBE-GGA.

* calculated total energy: -5.397 eV/atom
* symmetry: C2/m, No. 12
* energy relative to the elements, uncorrected: -102.1 kJ per mole of atoms

Cell lengths 8.0636, 8.0636, 9.3250 Å; angles 98.29, 98.29, 120.00 degrees
With the nearest neighbours (Å) after each atom.
Atoms (fractional coordinates):
Te  0.7243  0.7243  0.1916  2 Np 3.17, 1 Pr 3.23
Te  0.4037  0.0644  0.1927  2 Np 3.17, 1 Pr 3.23
Te  0.5963  0.9356  0.8073  2 Np 3.17, 1 Pr 3.23
Te  0.0644  0.4037  0.1927  2 Np 3.17, 1 Pr 3.23
Te  0.9356  0.5963  0.8073  2 Np 3.17, 1 Pr 3.23
Te  0.2757  0.2757  0.8084  2 Np 3.17, 1 Pr 3.23
Pr  0.0000  0.0000  0.0000  6 Te 3.23
Cs  0.8357  0.1643  0.5000  6 Te 3.83-3.86
Cs  0.1643  0.8357  0.5000  6 Te 3.83-3.86
Cs  0.5000  0.5000  0.5000  6 Te 3.81-3.86
Np  0.6670  0.3330  0.0000  6 Te 3.17
Np  0.3330  0.6670  0.0000  6 Te 3.17

---

Record 3
This record from the Alexandria database describes a relaxed Zr2Ru2Se crystal. The functional is PBE-GGA.

* calculated total energy: -7.809 eV/atom
* symmetry: I4/mmm, No. 139
* energy relative to the elements, uncorrected: 1.7 kJ per mole of atoms

Cell lengths 5.0529, 5.0529, 5.3504 Å; angles 61.82, 61.82, 90.00 degrees
With the nearest neighbours (Å) after each atom.
Atoms (fractional coordinates):
Zr  0.7500  0.2500  0.5000  4 Ru 2.64
Zr  0.2500  0.7500  0.5000  4 Ru 2.64
Ru  0.3478  0.3478  0.3045  1 Ru 2.43, 4 Zr 2.64
Ru  0.6522  0.6522  0.6955  1 Ru 2.43, 4 Zr 2.64
Se  0.0000  0.0000  0.0000  2 Ru 2.77

---

Record 4
This record from the Alexandria database describes a relaxed Zr6Pd3N2 crystal. The functional is PBE-GGA.

* calculated total energy: -8.425 eV/atom
* symmetry: R-3m, No. 166
* energy relative to the elements, uncorrected: -80.3 kJ per mole of atoms

Cell lengths 3.3020, 3.3020, 20.6081 Å; angles 85.40, 85.40, 60.00 degrees
With the nearest neighbours (Å) after each atom.
Atoms (fractional coordinates):
Zr  0.8964  0.8964  0.3107  3 N 2.27
Zr  0.6325  0.6325  0.1026  6 Pd 2.76-2.84
Zr  0.1887  0.1887  0.4340  3 N 2.31
Zr  0.1036  0.1036  0.6893  3 N 2.27
Zr  0.3675  0.3675  0.8974  6 Pd 2.76-2.84
Zr  0.8113  0.8113  0.5660  3 N 2.31
Pd  0.2666  0.2666  0.2002  6 Zr 2.76-2.96
Pd  0.7334  0.7334  0.7998  6 Zr 2.76-2.96
Pd  0.0000  0.0000  0.0000  6 Zr 2.84
N  0.5430  0.5430  0.3709  6 Zr 2.27-2.31
N  0.4570  0.4570  0.6291  6 Zr 2.27-2.31

---

Record 5
This record from the Alexandria database describes a relaxed LuHSe2 crystal. The functional is PBE-GGA.

* calculated total energy: -4.814 eV/atom
* symmetry: R-3m, No. 166

Cell lengths 4.1450, 4.1450, 6.9093 Å; angles 72.54, 72.54, 60.00 degrees
With the nearest neighbours (Å) after each atom.
Atoms (fractional coordinates):
Se  0.9099  0.9099  0.2704  1 H 1.75
Se  0.0901  0.0901  0.7296  1 H 1.75
H  0.0000  0.0000  0.0000  2 Se 1.75
Lu  0.5000  0.5000  0.5000  6 Se 2.82

---

Record 6
This record from the Alexandria database describes a relaxed NdDyAgPb crystal. The functional is PBE-GGA.

* E_form: -0.40 eV/atom
* calculated total energy: -4.386 eV/atom
* symmetry: F-43m, No. 216

Cell lengths 5.3670, 5.3670, 5.3670 Å; angles 60.00, 60.00, 60.00 degrees
With the nearest neighbours (Å) after each atom.
Atoms (fractional coordinates):
Pb  0.0000  0.0000  0.0000  4 Nd 3.29, 4 Dy 3.29
Ag  0.5000  0.5000  0.5000  4 Dy 3.29, 4 Nd 3.29
Nd  0.7500  0.7500  0.7500  4 Pb 3.29, 4 Ag 3.29
Dy  0.2500  0.2500  0.2500  4 Pb 3.29, 4 Ag 3.29

---

Record 7
This record from the Alexandria database describes a relaxed Dy8OsPt2 crystal. The functional is PBE-GGA.

* E_form: -0.47 eV/atom
* calculated total energy: -5.938 eV/atom
* symmetry: Cm, No. 8

Cell lengths 5.9830, 7.5911, 7.5911 Å; angles 112.85, 100.79, 100.79 degrees
With the nearest neighbours (Å) after each atom.
Atoms (fractional coordinates):
Dy  0.3775  0.9256  0.6714  2 Pt 2.85-2.87, 1 Os 2.96
Dy  0.8112  0.6498  0.6498  1 Os 2.97, 2 Pt 3.03
Dy  0.3775  0.6714  0.9256  2 Pt 2.85-2.87, 1 Os 2.96
Dy  0.9892  0.7892  0.2106  1 Os 2.84
Dy  0.5776  0.3362  0.0815  2 Pt 2.83-2.85, 1 Os 3.01
Dy  0.9892  0.2106  0.7892  1 Os 2.84
Dy  0.1673  0.3551  0.3551  1 Os 2.95, 2 Pt 3.04
Dy  0.5776  0.0815  0.3362  2 Pt 2.83-2.85, 1 Os 3.01
Pt  0.4888  0.6931  0.3201  6 Dy 2.83-3.04
Pt  0.4888  0.3201  0.6931  6 Dy 2.83-3.04
Os  0.1550  0.0012  0.0012  8 Dy 2.84-3.01

---

Record 8
This record from the Alexandria database describes a relaxed Cs2KClF crystal. The functional is PBE-GGA.

* calculated total energy: -2.923 eV/atom
* symmetry: P4/mmm, No. 123
* energy relative to the elements, uncorrected: -156.1 kJ per mole of atoms

Cell lengths 6.3287, 6.3287, 5.2006 Å; angles 90.00, 90.00, 90.00 degrees
With the nearest neighbours (Å) after each atom.
Atoms (fractional coordinates):
F  0.0000  0.0000  0.0000  2 K 2.60
Cs  0.5000  0.0000  0.0000  2 F 3.16
Cs  0.0000  0.5000  0.0000  2 F 3.16
Cl  0.5000  0.5000  0.5000  8 Cs 4.10, 4 K 4.48
K  0.0000  0.0000  0.5000  2 F 2.60

---

Record 9
This record from the Alexandria database describes a relaxed HfGaTe2Pb crystal. The functional is PBE-GGA.

* calculated total energy: -3.651 eV/atom
* symmetry: P4/mmm, No. 123
* energy relative to the elements, uncorrected: 91.0 kJ per mole of atoms

Cell lengths 5.9757, 5.5298, 5.9757 Å; angles 90.00, 90.00, 90.00 degrees
With the nearest neighbours (Å) after each atom.
Atoms (fractional coordinates):
Te  0.0000  0.0000  0.5000  2 Pb 2.99
Te  0.5000  0.0000  0.0000  2 Pb 2.99
Hf  0.0000  0.5000  0.0000  2 Pb 2.76
Pb  0.0000  0.0000  0.0000  2 Hf 2.76, 4 Te 2.99
Ga  0.5000  0.5000  0.5000  8 Te 4.07, 4 Hf 4.23

---

Record 10
This record from the Alexandria database describes a relaxed Cs3Ce3HgTe8 crystal. The functional is PBE-GGA.

* calculated total energy: -4.127 eV/atom
* symmetry: C2/m, No. 12
* energy relative to the elements, uncorrected: -103.6 kJ per mole of atoms

Cell lengths 9.6891, 9.0022, 10.0739 Å; angles 112.87, 90.00, 122.56 degrees
With the nearest neighbours (Å) after each atom.
Atoms (fractional coordinates):
Te  0.7445  0.0582  0.2946  2 Ce 3.04-3.11
Te  0.2037  0.4074  0.6718  1 Hg 2.76
Te  0.6863  0.9418  0.7054  2 Ce 3.04-3.11
Te  0.7963  0.5926  0.3282  1 Hg 2.76
Te  0.2555  0.9418  0.7054  2 Ce 3.04-3.11
Te  0.2678  0.5357  0.3079  3 Ce 3.14-3.19
Te  0.7322  0.4643  0.6921  3 Ce 3.14-3.19
Te  0.3137  0.0582  0.2946  2 Ce 3.04-3.11
Hg  0.0000  0.0000  0.5000  2 Te 2.76
Ce  0.5000  0.5000  0.5000  6 Te 3.04-3.24
Ce  0.0000  0.5000  0.5000  6 Te 3.04-3.24
Ce  0.5000  0.0000  0.5000  6 Te 3.11-3.14
Cs  0.0000  0.0000  0.0000  6 Te 3.81-3.92
Cs  0.0000  0.5000  0.0000  6 Te 3.85-3.91
Cs  0.5000  0.5000  0.0000  6 Te 3.85-3.91

---

Record 11
This record from the Alexandria database describes a relaxed K2TcPd crystal. The functional is PBE-GGA.

* E_form: 1.32 eV/atom
* calculated total energy: -3.118 eV/atom
* symmetry: Fm-3m, No. 225

Cell lengths 5.4848, 5.4848, 5.4848 Å; angles 60.00, 60.00, 60.00 degrees
With the nearest neighbours (Å) after each atom.
Atoms (fractional coordinates):
K  0.7500  0.7500  0.7500  4 Pd 3.36, 4 Tc 3.36
K  0.2500  0.2500  0.2500  4 Tc 3.36, 4 Pd 3.36
Pd  0.5000  0.5000  0.5000  8 K 3.36
Tc  0.0000  0.0000  0.0000  8 K 3.36

---

Record 12
This record from the Alexandria database describes a relaxed Ba8Pt crystal. The functional is PBE-GGA.

* E_form: -0.06 eV/atom
* calculated total energy: -2.436 eV/atom
* symmetry: I4/mmm, No. 139

Cell lengths 10.6736, 10.6736, 10.6736 Å; angles 92.44, 92.44, 156.18 degrees
With the nearest neighbours (Å) after each atom.
Atoms (fractional coordinates):
Ba  0.0000  0.6644  0.6644  10 Ba 4.08-4.40
Ba  0.6307  0.6307  0.2615  2 Pt 3.51, 2 Ba 3.86
Ba  0.3693  0.3693  0.7385  2 Pt 3.51, 2 Ba 3.86
Ba  0.3356  0.0000  0.3356  10 Ba 4.08-4.40
Ba  0.3693  0.6307  0.0000  2 Pt 3.51, 2 Ba 3.86
Ba  0.6644  0.0000  0.6644  10 Ba 4.08-4.40
Ba  0.6307  0.3693  0.0000  2 Pt 3.51, 2 Ba 3.86
Ba  0.0000  0.3356  0.3356  10 Ba 4.08-4.40
Pt  0.0000  0.0000  0.0000  8 Ba 3.51

---

Record 13
This record from the Alexandria database describes a relaxed TiCuNiPt2 crystal. The functional is PBE-GGA.

* E_form: 0.58 eV/atom
* calculated total energy: -5.388 eV/atom
* symmetry: P4/mmm, No. 123

Cell lengths 4.6458, 4.1246, 4.6458 Å; angles 90.00, 90.00, 90.00 degrees
With the nearest neighbours (Å) after each atom.
Atoms (fractional coordinates):
Cu  0.5000  0.5000  0.5000  8 Pt 3.11, 4 Ti 3.29
Pt  0.0000  0.0000  0.5000  2 Ni 2.32
Pt  0.5000  0.0000  0.0000  2 Ni 2.32
Ti  0.0000  0.5000  0.0000  2 Ni 2.06
Ni  0.0000  0.0000  0.0000  2 Ti 2.06

---

Record 14
This record from the Alexandria database describes a relaxed CaIn2Co crystal. The functional is PBE-GGA.

* E_form: 0.12 eV/atom
* calculated total energy: -3.528 eV/atom
* symmetry: I-4m2, No. 119

Cell lengths 5.2920, 5.2920, 5.2920 Å; angles 129.10, 129.10, 74.85 degrees
With the nearest neighbours (Å) after each atom.
Atoms (fractional coordinates):
In  0.2500  0.7500  0.5000  4 Ca 3.10, 4 In 3.10, 4 Co 3.22
In  0.0000  0.0000  0.0000  4 In 3.10, 4 Co 3.10, 4 Ca 3.22
Ca  0.5000  0.5000  0.0000  8 In 3.10-3.22, 4 Co 3.10
Co  0.7500  0.2500  0.5000  8 In 3.10-3.22, 4 Ca 3.10

---

Record 15
This record from the Alexandria database describes a relaxed As3Ru crystal. The functional is PBE-GGA.

* E_form: 0.24 eV/atom
* calculated total energy: -5.563 eV/atom
* symmetry: Pmm2, No. 25

Cell lengths 3.3552, 4.0657, 5.4834 Å; angles 90.00, 90.00, 90.00 degrees
With the nearest neighbours (Å) after each atom.
Atoms (fractional coordinates):
As  0.5000  0.0000  0.4373  4 As 2.61-2.68, 4 Ru 2.64
As  0.5000  0.5000  0.7555  2 Ru 2.57, 2 As 2.68
As  0.0000  0.0000  0.0726  2 As 2.61, 2 Ru 2.72
Ru  0.0000  0.5000  0.4013  8 As 2.57-2.72

---

Record 16
This record from the Alexandria database describes a relaxed CoMo5 crystal. The functional is PBE-GGA.

* E_form: 0.47 eV/atom
* calculated total energy: -9.738 eV/atom
* symmetry: F-43m, No. 216

Cell lengths 5.1526, 5.1526, 5.1526 Å; angles 60.00, 60.00, 60.00 degrees
With the nearest neighbours (Å) after each atom.
Atoms (fractional coordinates):
Mo  0.7500  0.7500  0.7500  12 Mo 3.02, 4 Co 3.16
Mo  0.3749  0.3749  0.8754  6 Mo 2.57-2.58
Mo  0.8754  0.3749  0.3749  6 Mo 2.57-2.58
Mo  0.3749  0.8754  0.3749  6 Mo 2.57-2.58
Mo  0.3749  0.3749  0.3749  6 Mo 2.57-2.58
Co  0.0000  0.0000  0.0000  16 Mo 3.02-3.16

---

Record 17
This record from the Alexandria database describes a relaxed HfAgB3 crystal. The functional is PBE-GGA.

* E_form: 1.64 eV/atom
* calculated total energy: -4.928 eV/atom
* symmetry: Pm-3m, No. 221

Cell lengths 4.1109, 4.1109, 4.1109 Å; angles 90.00, 90.00, 90.00 degrees
With the nearest neighbours (Å) after each atom.
Atoms (fractional coordinates):
B  0.5000  0.0000  0.0000  2 Ag 2.06
B  0.0000  0.0000  0.5000  2 Ag 2.06
B  0.0000  0.5000  0.0000  2 Ag 2.06
Ag  0.0000  0.0000  0.0000  6 B 2.06
Hf  0.5000  0.5000  0.5000  12 B 2.91

---

Record 18
This record from the Alexandria database describes a relaxed ZnAg2B crystal. The functional is PBE-GGA.

* E_form: 0.72 eV/atom
* calculated total energy: -2.690 eV/atom
* symmetry: Fm-3m, No. 225

Cell lengths 4.3275, 4.3275, 4.3275 Å; angles 60.00, 60.00, 60.00 degrees
With the nearest neighbours (Å) after each atom.
Atoms (fractional coordinates):
Zn  0.5000  0.5000  0.5000  8 Ag 2.65
Ag  0.7500  0.7500  0.7500  4 B 2.65, 4 Zn 2.65
Ag  0.2500  0.2500  0.2500  4 B 2.65, 4 Zn 2.65
B  0.0000  0.0000  0.0000  8 Ag 2.65

---

Record 19
This record from the Alexandria database describes a relaxed LaCd2NiBi crystal. The functional is PBE-GGA.

* E_form: -0.29 eV/atom
* calculated total energy: -3.570 eV/atom
* symmetry: P4/mmm, No. 123

Cell lengths 5.0339, 5.0339, 5.1842 Å; angles 90.00, 90.00, 90.00 degrees
With the nearest neighbours (Å) after each atom.
Atoms (fractional coordinates):
La  0.0000  0.0000  0.5000  2 Ni 2.59
Bi  0.5000  0.5000  0.5000  4 La 3.56, 8 Cd 3.61
Cd  0.5000  0.0000  0.0000  2 Ni 2.52
Cd  0.0000  0.5000  0.0000  2 Ni 2.52
Ni  0.0000  0.0000  0.0000  4 Cd 2.52, 2 La 2.59

---

Record 20
This record from the Alexandria database describes a relaxed OsRhPb crystal. The functional is PBE-GGA.

* E_form: 0.47 eV/atom
* calculated total energy: -6.963 eV/atom
* symmetry: Pm, No. 6

Cell lengths 6.1354, 2.9444, 6.7956 Å; angles 90.00, 112.93, 90.00 degrees
With the nearest neighbours (Å) after each atom.
Atoms (fractional coordinates):
Pb  0.0803  0.5000  0.4692  3 Rh 2.82-2.83, 3 Os 2.86-3.12, 2 Pb 2.94
Pb  0.6746  0.0000  0.7087  1 Os 2.80, 3 Rh 2.82-2.89, 2 Pb 2.94
Rh  0.0217  0.5000  0.0366  3 Os 2.63-2.66, 3 Pb 2.82, 4 Rh 2.83-2.94
Rh  0.2899  0.0000  0.8533  3 Os 2.62-2.65, 3 Pb 2.83-2.89, 2 Rh 2.83
Os  0.6342  0.5000  0.1150  2 Os 2.58, 3 Rh 2.62-2.63, 1 Pb 2.86
Os  0.3948  0.0000  0.2706  2 Os 2.58, 3 Rh 2.65-2.66, 1 Pb 2.80